Li4TbPu3S8 | Alexandria via LeMat-Bulk | GGA-PBE | optimized geometry; density of states at the Fermi level = 26.656 states/eV per cell; DFT total energy = -114.19 eV per cell; energy relative to the elements, uncorrected = -25.9 eV/f.u.; space group = No. 166
1.0
-2.702 -4.868 -5.627
-2.372 -4.888 5.367
-2.247 7.590 0.081
S Pu Li Tb
8 3 4 1
Cartesian
-3.735 -1.071 -2.847 S
-4.919 -3.518 -0.162 S
-3.503 5.155 0.011 S
-3.818 -7.320 -0.191 S
-3.586 -1.093 2.668 S
-4.856 2.717 -2.807 S
-2.464 -4.882 2.627 S
-2.402 1.353 -0.017 S
-3.660 -1.082 -0.090 Pu
-2.310 1.351 2.724 Pu
-2.537 -4.878 -0.130 Pu
0.000 0.000 0.000 Li
-2.474 1.361 -2.773 Li
-1.124 3.795 0.040 Li
-1.351 -2.434 -2.814 Li
-1.186 -2.444 2.683 Tb


LiTb3Pu2S6 | Alexandria via LeMat-Bulk | GGA-PBE | optimized geometry; density of states at the Fermi level = 17.968 states/eV per cell; DFT total energy = -91.66 eV per cell; energy relative to the elements, uncorrected = -22.4 eV/f.u.; space group = No. 12
1.0
6.799 -0.001 -0.001
-3.399 5.888 -0.001
-1.135 -1.964 6.422
Tb S Pu Li
3 6 2 1
Cartesian
4.532 -0.002 3.210 Tb
-2.266 3.924 3.210 Tb
1.133 1.961 3.210 Tb
3.380 1.992 4.820 S
2.285 3.957 1.596 S
0.036 3.923 4.820 S
-1.115 1.930 1.601 S
-0.020 -0.035 4.825 S
2.229 -0.001 1.601 S
0.002 3.924 -0.001 Pu
3.398 1.963 -0.001 Pu
0.000 0.000 0.000 Li


LiTbPuS3 | Alexandria via LeMat-Bulk | GGA-PBE | optimized geometry; density of states at the Fermi level = 21.910 states/eV per cell; DFT total energy = -86.75 eV per cell; energy relative to the elements, uncorrected = -10.1 eV/f.u.; space group = No. 11
1.0
3.815 0.000 0.000
0.000 8.112 0.255
0.000 -1.878 8.199
Li S Pu Tb
2 6 2 2
Cartesian
2.862 6.614 3.664 Li
0.954 -0.380 4.790 Li
2.862 3.031 1.452 S
0.954 -0.867 7.125 S
2.862 7.101 1.328 S
0.954 5.428 4.443 S
2.862 0.806 4.011 S
0.954 3.203 7.002 S
2.862 1.208 6.862 Pu
0.954 5.026 1.592 Pu
2.862 5.219 6.651 Tb
0.954 1.015 1.803 Tb


LiTb3Pu3S8 | Alexandria via LeMat-Bulk | GGA-PBE | optimized geometry; density of states at the Fermi level = 31.488 states/eV per cell; DFT total energy = -119.22 eV per cell; energy relative to the elements, uncorrected = -27.4 eV/f.u.; space group = No. 166
1.0
7.852 0.000 0.000
-3.926 6.800 -0.024
0.000 -4.511 6.399
Tb S Pu Li
3 8 3 1
Cartesian
1.963 1.144 3.188 Tb
-1.963 1.144 3.188 Tb
3.926 -2.256 3.200 Tb
0.000 -0.021 4.750 S
3.926 2.310 1.626 S
1.997 3.437 4.737 S
0.000 2.273 1.593 S
1.929 -1.148 1.639 S
5.924 -1.148 1.639 S
-1.997 3.437 4.737 S
3.926 0.016 4.783 S
-1.963 3.400 -0.012 Pu
0.000 0.000 0.000 Pu
1.963 3.400 -0.012 Pu
0.000 -2.256 3.200 Li


LiTb2PuS5 | Alexandria via LeMat-Bulk | GGA-PBE | optimized geometry; density of states at the Fermi level = 23.548 states/eV per cell; DFT total energy = -123.63 eV per cell; energy relative to the elements, uncorrected = -15.7 eV/f.u.; space group = No. 36
1.0
-2.904 -1.442 2.202
4.897 -6.636 -1.377
6.120 2.502 9.711
S Tb Li Pu
10 4 2 2
Cartesian
4.212 -3.696 3.135 S
6.052 -2.582 6.291 S
2.530 -1.432 5.887 S
0.274 -0.016 3.840 S
8.231 -5.400 7.319 S
2.528 -5.393 -0.198 S
0.775 -0.492 0.699 S
5.192 -5.962 6.431 S
1.011 -3.424 2.579 S
5.006 -1.428 9.156 S
6.016 -4.270 8.626 Tb
4.933 0.121 6.586 Tb
2.376 -6.027 2.675 Tb
2.664 -1.074 2.810 Tb
6.260 -5.905 4.389 Li
4.659 1.476 10.602 Li
3.695 -3.894 5.811 Pu
1.384 -2.922 -0.089 Pu


LiTb4Pu3S8 | Alexandria via LeMat-Bulk | GGA-PBE | optimized geometry; density of states at the Fermi level = 24.184 states/eV per cell; DFT total energy = -126.64 eV per cell; energy relative to the elements, uncorrected = -30.2 eV/f.u.; space group = No. 166
1.0
-4.755 -2.590 5.701
5.747 1.045 5.269
-2.256 5.972 -4.591
Li S Pu Tb
1 8 3 4
Cartesian
2.874 0.523 2.634 Li
0.716 -1.158 8.242 S
-1.980 5.584 -1.863 S
-0.382 1.830 5.935 S
-3.279 1.326 3.290 S
2.014 3.100 3.089 S
3.127 0.156 5.352 S
-0.882 2.597 0.444 S
-4.391 4.271 1.027 S
0.496 -0.772 5.485 Pu
-0.632 2.213 3.189 Pu
1.746 3.508 0.339 Pu
-1.128 2.986 -2.295 Tb
-3.506 1.691 0.555 Tb
0.000 0.000 0.000 Tb
-2.378 -1.295 2.850 Tb


Li3Tb3PuS8 | Alexandria via LeMat-Bulk | GGA-PBE | optimized geometry; density of states at the Fermi level = 10.909 states/eV per cell; DFT total energy = -92.92 eV per cell; energy relative to the elements, uncorrected = -25.9 eV/f.u.; space group = No. 166
1.0
7.909 0.000 0.000
-3.955 6.849 -0.024
0.000 -4.548 6.175
S Li Pu Tb
8 3 1 3
Cartesian
0.000 2.286 1.530 S
-2.031 5.680 1.559 S
3.955 2.349 1.571 S
3.955 0.015 4.621 S
5.986 -3.379 4.591 S
2.031 5.680 1.559 S
1.923 -3.379 4.591 S
0.000 -0.048 4.580 S
1.977 3.424 -0.012 Li
0.000 0.000 0.000 Li
-1.977 3.424 -0.012 Li
0.000 -2.274 3.087 Pu
-1.977 1.151 3.075 Tb
3.955 -2.274 3.087 Tb
1.977 1.151 3.075 Tb


LiTb2Pu3S6 | Alexandria via LeMat-Bulk | GGA-PBE | optimized geometry; density of states at the Fermi level = 22.230 states/eV per cell; DFT total energy = -100.71 eV per cell; energy relative to the elements, uncorrected = -21.8 eV/f.u.; space group = No. 12
1.0
6.813 -0.001 0.000
-3.406 5.901 0.000
-1.137 -1.969 6.418
S Li Tb Pu
6 1 2 3
Cartesian
-0.015 -0.026 4.846 S
-1.122 1.941 1.567 S
2.242 -0.001 1.567 S
2.285 3.957 1.571 S
3.392 1.990 4.850 S
0.028 3.932 4.850 S
0.000 0.000 0.000 Li
3.405 1.967 0.000 Tb
0.002 3.933 0.000 Tb
-2.267 3.930 3.209 Pu
4.537 0.001 3.209 Pu
1.135 1.965 3.209 Pu


Li2PuTeS4 | Alexandria via LeMat-Bulk | GGA-PBE | optimized geometry; density of states at the Fermi level = 9.769 states/eV per cell; DFT total energy = -45.27 eV per cell; energy relative to the elements, uncorrected = -7.5 eV/f.u.; space group = No. 10
1.0
-0.247 -3.754 -0.475
4.379 0.598 -6.995
2.708 -0.988 6.402
Li Te Pu S
2 1 1 4
Cartesian
1.231 -2.371 2.963 Li
3.544 -0.195 -0.297 Li
0.000 0.000 0.000 Te
2.066 -1.578 -3.735 Pu
1.591 -1.887 -1.047 S
5.250 -2.258 -0.021 S
4.005 0.124 -3.057 S
3.083 -0.514 2.463 S


LiPuTeS | Alexandria via LeMat-Bulk | GGA-PBE | optimized geometry; density of states at the Fermi level = 14.805 states/eV per cell; DFT total energy = -56.69 eV per cell; energy relative to the elements, uncorrected = -4.8 eV/f.u.; space group = No. 129
1.0
-2.561 2.694 2.500
-3.606 -1.252 -2.344
-1.545 -7.282 6.265
S Pu Li Te
2 2 2 2
Cartesian
0.000 0.000 0.000 S
-3.083 0.721 0.078 S
-1.519 0.222 2.218 Pu
-3.109 -6.783 4.125 Pu
-3.855 -2.920 3.210 Li
-0.772 -3.641 3.132 Li
-2.307 -3.002 0.872 Te
-2.321 -3.559 5.471 Te


Li2PuTiS4 | Alexandria via LeMat-Bulk | GGA-PBE | optimized geometry; density of states at the Fermi level = 8.911 states/eV per cell; DFT total energy = -54.16 eV per cell; energy relative to the elements, uncorrected = -11.6 eV/f.u.; space group = No. 10
1.0
-1.132 -3.031 -1.873
3.107 -3.753 4.197
-6.079 0.982 2.085
Ti S Pu Li
1 4 1 2
Cartesian
0.988 -3.392 1.162 Ti
0.809 -2.495 3.549 S
-2.863 -3.515 3.689 S
-3.782 -0.276 2.733 S
-1.241 -2.287 0.721 S
0.000 0.000 0.000 Pu
-1.486 -1.386 3.141 Li
-3.605 -1.025 0.106 Li


Li3Pu2TiS6 | Alexandria via LeMat-Bulk | GGA-PBE | optimized geometry; density of states at the Fermi level = 16.747 states/eV per cell; DFT total energy = -84.96 eV per cell; energy relative to the elements, uncorrected = -17.9 eV/f.u.; space group = No. 12
1.0
6.599 -0.005 0.004
-3.302 5.713 0.004
-1.096 -1.899 6.111
S Pu Ti Li
6 2 1 3
Cartesian
-0.069 -0.120 4.629 S
0.151 3.810 4.603 S
2.269 3.930 1.489 S
2.049 -0.001 1.515 S
3.225 2.035 4.603 S
-1.025 1.774 1.515 S
-0.010 3.812 0.004 Pu
3.306 1.896 0.004 Pu
0.000 0.000 0.000 Ti
1.100 1.905 3.059 Li
-2.268 3.850 3.059 Li
4.468 -0.040 3.059 Li


Li4Pu3TiS8 | Alexandria via LeMat-Bulk | GGA-PBE | optimized geometry; density of states at the Fermi level = 24.046 states/eV per cell; DFT total energy = -115.54 eV per cell; energy relative to the elements, uncorrected = -24.0 eV/f.u.; space group = No. 166
1.0
-7.632 -0.788 -0.337
0.554 -6.776 3.295
3.077 6.212 3.306
Pu S Li Ti
3 8 4 1
Cartesian
1.815 -0.282 3.300 Pu
-3.539 -3.782 1.479 Pu
-2.001 -0.676 3.132 Pu
-0.231 1.233 2.358 S
-1.384 -5.192 2.396 S
-4.062 0.924 2.316 S
-2.617 3.841 3.868 S
-3.770 -2.585 3.906 S
1.432 4.259 4.047 S
-5.433 -5.610 2.217 S
0.060 -2.276 3.948 S
0.000 0.000 0.000 Li
-2.278 2.712 1.484 Li
1.539 3.106 1.653 Li
-3.816 -0.394 -0.169 Li
0.277 -3.388 1.648 Ti


LiPu3Tl4S8 | Alexandria via LeMat-Bulk | GGA-PBE | optimized geometry; density of states at the Fermi level = 23.354 states/eV per cell; DFT total energy = -104.76 eV per cell; energy relative to the elements, uncorrected = -17.4 eV/f.u.; space group = No. 166
1.0
8.042 0.000 0.000
0.000 8.732 0.477
-4.021 -4.015 5.692
Pu S Li Tl
3 8 1 4
Cartesian
2.011 2.358 3.084 Pu
-2.011 2.358 3.084 Pu
4.021 4.366 0.238 Pu
4.021 4.218 2.976 S
-1.951 2.203 5.774 S
5.972 2.514 0.395 S
2.071 2.514 0.395 S
1.951 2.203 5.774 S
4.021 0.566 3.154 S
0.000 0.499 3.193 S
0.000 4.151 3.015 S
0.000 4.366 0.238 Li
-2.011 -2.008 2.846 Tl
2.011 -2.008 2.846 Tl
0.000 0.000 0.000 Tl
4.021 0.000 0.000 Tl


Li2PuTl2S4 | Alexandria via LeMat-Bulk | GGA-PBE | optimized geometry; density of states at the Fermi level = 10.529 states/eV per cell; DFT total energy = -48.70 eV per cell; energy relative to the elements, uncorrected = -9.3 eV/f.u.; space group = No. 12
1.0
-2.963 2.300 -1.655
2.440 -1.748 -6.796
-3.578 -6.027 3.105
S Tl Pu Li
4 2 1 2
Cartesian
-4.358 -5.120 0.684 S
-2.539 -3.270 -5.077 S
-1.561 -2.204 -0.269 S
0.257 -0.354 -6.030 S
-4.053 -3.121 -2.159 Tl
-0.048 -2.354 -3.186 Tl
0.000 0.000 0.000 Pu
-0.915 -2.361 -6.721 Li
-3.186 -3.114 1.376 Li


LiPu2TlS4 | Alexandria via LeMat-Bulk | GGA-PBE | optimized geometry; density of states at the Fermi level = 34.483 states/eV per cell; DFT total energy = -120.94 eV per cell; energy relative to the elements, uncorrected = -11.0 eV/f.u.; space group = No. 63
1.0
4.067 0.000 0.000
-2.033 6.748 0.000
0.000 0.000 14.063
S Pu Li Tl
8 4 2 2
Cartesian
0.000 5.681 10.547 S
2.033 3.242 8.502 S
0.000 3.506 1.471 S
0.000 0.000 0.000 S
2.033 3.242 12.592 S
2.033 1.067 3.516 S
0.000 0.000 7.031 S
0.000 3.506 5.560 S
2.033 1.791 0.830 Pu
2.033 1.791 6.202 Pu
0.000 4.957 13.233 Pu
0.000 4.957 7.861 Pu
0.000 2.324 3.516 Li
2.033 4.425 10.547 Li
0.000 1.343 10.547 Tl
2.033 5.405 3.516 Tl


LiPu3Tl3S8 | Alexandria via LeMat-Bulk | GGA-PBE | optimized geometry; density of states at the Fermi level = 30.410 states/eV per cell; DFT total energy = -100.76 eV per cell; energy relative to the elements, uncorrected = -15.7 eV/f.u.; space group = No. 12
1.0
-6.275 -3.720 -3.173
6.534 1.237 -4.400
0.471 -6.103 6.221
Tl S Li Pu
3 8 1 3
Cartesian
0.000 0.000 0.000 Tl
3.267 0.619 -2.200 Tl
0.130 -1.241 -3.787 Tl
-1.329 -2.872 0.848 S
-4.366 -4.673 -0.688 S
-1.215 -6.425 -0.037 S
5.096 -3.913 -0.664 S
-1.199 -4.087 -2.808 S
2.060 -5.714 -2.200 S
1.930 -4.499 1.456 S
1.946 -2.161 -1.316 S
0.236 -3.052 3.110 Li
0.365 -4.293 -0.676 Pu
-2.902 -4.912 1.524 Pu
3.503 -2.433 0.911 Pu


LiPu2Tl3S6 | Alexandria via LeMat-Bulk | GGA-PBE | optimized geometry; density of states at the Fermi level = 13.313 states/eV per cell; DFT total energy = -74.96 eV per cell; energy relative to the elements, uncorrected = -12.5 eV/f.u.; space group = No. 12
1.0
6.923 -0.007 0.008
-3.466 5.993 0.008
-1.144 -1.980 7.405
Pu S Tl Li
2 6 3 1
Cartesian
-0.006 3.995 0.008 Pu
3.463 1.991 0.008 Pu
2.265 3.923 1.412 S
3.527 1.911 5.953 S
0.048 0.083 6.009 S
2.421 -0.004 1.468 S
-0.107 4.009 5.953 S
-1.213 2.095 1.468 S
4.674 -0.028 3.710 Tl
-2.360 4.034 3.710 Tl
1.157 2.003 3.710 Tl
0.000 0.000 0.000 Li


LiPu2Tl2S6 | Alexandria via LeMat-Bulk | GGA-PBE | optimized geometry; density of states at the Fermi level = 13.709 states/eV per cell; DFT total energy = -71.67 eV per cell; energy relative to the elements, uncorrected = -11.6 eV/f.u.; space group = No. 12
1.0
-2.835 1.156 6.135
2.432 -6.202 -1.624
6.784 3.452 1.332
Tl Pu S Li
2 2 6 1
Cartesian
1.597 -5.035 -0.394 Tl
-2.000 -0.010 4.905 Tl
4.061 -2.012 1.639 Pu
2.320 0.419 4.203 Pu
5.561 -0.105 0.600 S
2.704 -4.120 2.468 S
3.677 2.527 3.374 S
4.355 -1.251 4.143 S
2.026 -0.342 1.700 S
0.821 -1.488 5.243 S
3.392 1.726 0.666 Li